Record 1
{"formula": "Na3PrTm2Te6", "functional": "PBE-GGA", "state": "optimized geometry", "lattice_angstrom": [[-0.686, 6.894, -3.382], [-6.300, -3.848, 2.224], [2.678, 2.338, 7.161]], "species": ["Na", "Na", "Na", "Pr", "Tm", "Tm", "Te", "Te", "Te", "Te", "Te", "Te"], "frac_coords": [[0.163, 0.837, 0.500], [0.837, 0.163, 0.500], [0.500, 0.500, 0.500], [0.000, 0.000, 0.000], [0.333, 0.667, 0.000], [0.667, 0.333, 0.000], [0.922, 0.577, 0.767], [0.732, 0.732, 0.232], [0.078, 0.423, 0.233], [0.577, 0.922, 0.767], [0.268, 0.268, 0.768], [0.423, 0.078, 0.233]], "crystal_system": "monoclinic", "total_magnetization_mub_per_atom": 0.00, "raw_formation_energy_ev_per_fu": -15.6}

---

Record 2
{"formula": "HoHfSe4", "functional": "PBE-GGA", "state": "optimized geometry", "lattice_angstrom": [[-2.219, 5.190, 3.717], [-4.350, 1.705, -4.978], [-4.749, -3.746, 2.867]], "species": ["Ho", "Ho", "Hf", "Hf", "Se", "Se", "Se", "Se", "Se", "Se", "Se", "Se"], "frac_coords": [[0.500, 0.000, 0.500], [0.000, 0.500, 0.500], [0.000, 0.000, 0.000], [0.500, 0.500, 0.000], [0.835, 0.656, 0.131], [0.665, 0.156, 0.869], [0.386, 0.370, 0.358], [0.114, 0.870, 0.642], [0.165, 0.344, 0.869], [0.335, 0.844, 0.131], [0.614, 0.630, 0.642], [0.886, 0.130, 0.358]], "crystal_system": "monoclinic", "total_magnetization_mub_per_atom": 0.00, "raw_formation_energy_ev_per_fu": -7.2}

---

Record 3
{"formula": "Mg3AlW", "functional": "PBE-GGA", "state": "optimized geometry", "lattice_angstrom": [[5.260, 0.000, 0.000], [0.000, 5.260, 0.000], [0.000, 0.000, 5.260]], "species": ["Mg", "Mg", "Mg", "Al", "W"], "frac_coords": [[0.000, 0.500, 0.000], [0.000, 0.000, 0.500], [0.500, 0.000, 0.000], [0.500, 0.500, 0.500], [0.000, 0.000, 0.000]], "formation_enthalpy_0k_ev_per_fu": 6.89, "crystal_system": "cubic", "e_above_lowest_polymorph_mev_per_atom": 0, "total_magnetization_mub_per_atom": 0.50}

---

no.,electronic total energy (eV/cell)
1,-52.15
2,-71.26
3,-14.59